The following is a PBE-GGA calculation of a relaxed Nd2Dy7Y2 crystal, from Alexandria via LeMat-Bulk.

Cell and atoms, written as CIF:
```
data_Nd2Dy7Y2
_cell_length_a 11.3667
_cell_length_b 11.4562
_cell_length_c 6.0692
_cell_angle_alpha 90.00
_cell_angle_beta 113.49
_cell_angle_gamma 90.00
_symmetry_space_group_name_H-M 'C 1 2/m 1'
_symmetry_Int_Tables_number 12
_symmetry_space_group_name_Hall '-C 2y'
loop_
_atom_site_label
_atom_site_type_symbol
_atom_site_fract_x
_atom_site_fract_y
_atom_site_fract_z
Nd1 Nd 0.2334 0.0000 0.0910
Dy1 Dy 0.0000 0.0000 0.5000
Dy2 Dy 0.0874 0.5000 0.3026
Dy3 Dy 0.1745 0.2345 0.6732
Y1 Y 0.0000 0.2171 0.0000
```

Summary:
- calculated density (kg/m3) = 7348
- relative energy among the computed polymorphs (eV/f.u.) = 0.84
- total DFT energy (no corrections) (eV/atom) = -4.818
- energy of formation (kcal/mol of atoms) = 3.53
- magnetic moment (μB per cell) = 0.00